## HIr2W (GGA-PBE)

Data for a relaxed HIr2W crystal.

abc: 6.2514 6.2514 5.0969
angles: 52.17 52.17 90.00
Element x y z (fractional)
H1 0.5000 0.5000 0.0000
H2 0.2500 0.7500 0.5000
Ir1 0.5289 0.1250 0.2500
Ir2 0.2211 0.6250 0.2500
Ir3 0.3750 0.4711 0.7500
Ir4 0.8750 0.7789 0.7500
W1 0.0000 0.0000 0.0000
W2 0.7500 0.2500 0.5000

Properties
Fermi-level density of states (states/eV/atom): 0.61
SG: I-42d, No. 122
Raw total energy (eV per atom): -8.309
Excess energy over the best structure of this formula in the dataset (eV/atom): 0.000


## Ge2PdPt5 (GGA-PBE)

Data for a relaxed Ge2PdPt5 crystal.

abc: 4.3870 4.3870 15.7886
angles: 90.00 90.00 120.00
Element x y z (fractional)
Ge1 0.6667 0.3333 0.5944
Ge2 0.3333 0.6666 0.0944
Ge3 0.3333 0.6667 0.4056
Ge4 0.6667 0.3334 0.9056
Pd1 0.3333 0.6667 0.2500
Pd2 0.6667 0.3333 0.7500
Pt1 0.0000 0.0000 0.3489
Pt2 0.0000 0.0000 0.1511
Pt3 0.6667 0.3333 0.2500
Pt4 0.0000 0.0000 0.8489
Pt5 0.6666 0.3333 0.0621
Pt6 0.3333 0.6667 0.7500
Pt7 0.3334 0.6667 0.9379
Pt8 0.3333 0.6666 0.5620
Pt9 0.6667 0.3334 0.4380
Pt10 0.0000 0.0000 0.6511

Properties
Fermi-level density of states (states/eV/atom): 0.52
Formation energy from the elements (meV per atom): -195.7
SG: P6_3/mmc, No. 194
Raw total energy (eV per atom): -5.775


## Ca2Hg2RuO6 (GGA-PBE)

Data for a relaxed Ca2Hg2RuO6 crystal.

abc: 5.9230 5.9230 6.2235
angles: 87.95 87.95 121.22
Element x y z (fractional)
Ca1 0.3404 0.6596 0.5000
Ca2 0.6596 0.3404 0.5000
Hg1 0.8522 0.1478 0.0000
Hg2 0.1478 0.8522 0.0000
Ru1 0.0000 0.0000 0.5000
O1 0.7052 0.7052 0.6650
O2 0.9735 0.2754 0.6829
O3 0.2948 0.2948 0.3350
O4 0.2754 0.9735 0.6829
O5 0.0265 0.7246 0.3171
O6 0.7246 0.0265 0.3171

Properties
Fermi-level density of states (states/eV/atom): 0.08
Raw formation energy (eV per atom): -1.46
SG: C2/m, No. 12
Raw total energy (eV per atom): -5.422


## Ac3PmNd3 (GGA-PBE)

Data for a relaxed Ac3PmNd3 crystal.

abc: 6.1469 10.1969 10.1973
angles: 120.00 90.00 90.00
Element x y z (fractional)
Ac1 0.7500 0.9060 0.3723
Ac2 0.7500 0.4664 0.0940
Ac3 0.7500 0.6277 0.5337
Ac4 0.2500 0.0940 0.6277
Ac5 0.2500 0.5336 0.9060
Ac6 0.2500 0.3723 0.4663
Pm1 0.7500 0.3333 0.6667
Pm2 0.2500 0.6667 0.3333
Nd1 0.7500 0.7691 0.9545
Nd2 0.7500 0.1855 0.2310
Nd3 0.7500 0.0455 0.8145
Nd4 0.2500 0.2309 0.0455
Nd5 0.2500 0.8145 0.7690
Nd6 0.2500 0.9545 0.1855

Properties
Fermi-level density of states (states/eV/atom): 1.79
Formation energy from the elements (meV per atom): 47.4
SG: P6_3/m, No. 176
Raw total energy (eV per atom): -4.435


## GeS2O (GGA-PBE)

Data for a relaxed GeS2O crystal.

abc: 6.7979 6.7979 6.7979
angles: 30.75 30.75 30.75
Element x y z (fractional)
Ge1 0.5000 0.5000 0.5000
S1 0.9080 0.9080 0.9080
S2 0.0920 0.0920 0.0920
O1 0.0000 0.0000 0.0000

Properties
Fermi-level density of states (states/eV/atom): 0.01
Raw formation energy (eV per atom): 0.09
SG: R-3m, No. 166
Raw total energy (eV per atom): -4.369
Excess energy over the best structure of this formula in the dataset (eV/atom): 0.000


## TlSbTe2 (GGA-PBE)

Data for a relaxed TlSbTe2 crystal.

abc: 8.3604 8.3604 8.3604
angles: 31.21 31.21 31.21
Element x y z (fractional)
Sb1 0.5000 0.5000 0.5000
Tl1 0.0000 0.0000 0.0000
Te1 0.2389 0.2389 0.2389
Te2 0.7611 0.7611 0.7611

Properties
Fermi-level density of states (states/eV/atom): 0.00
Raw formation energy (eV per atom): -0.23
SG: R-3m, No. 166
Raw total energy (eV per atom): -3.423
Excess energy over the best structure of this formula in the dataset (eV/atom): 0.000


## Tb4As3Se (GGA-PBE)

Data for a relaxed Tb4As3Se crystal.

abc: 5.8373 5.8373 5.8373
angles: 90.00 90.00 90.00
Element x y z (fractional)
Tb1 0.5000 0.0000 0.0000
Tb2 0.0000 0.5000 0.0000
Tb3 0.0000 0.0000 0.5000
Tb4 0.5000 0.5000 0.5000
As1 0.0000 0.5000 0.5000
As2 0.5000 0.0000 0.5000
As3 0.5000 0.5000 0.0000
Se1 0.0000 0.0000 0.0000

Properties
Fermi-level density of states (states/eV/atom): 0.42
Raw formation energy (eV per atom): -1.64
SG: Pm-3m, No. 221
Raw total energy (eV per atom): -6.136
Excess energy over the best structure of this formula in the dataset (eV/atom): 0.010


## Ac7Pb3N2 (GGA-PBE)

Data for a relaxed Ac7Pb3N2 crystal.

abc: 5.2313 5.4130 13.8630
angles: 101.26 90.00 90.00
Element x y z (fractional)
Ac1 0.0000 0.4002 0.8004
Ac2 0.0000 0.8014 0.6027
Ac3 0.0000 0.0000 0.0000
Ac4 0.0000 0.5998 0.1996
Ac5 0.5000 0.0964 0.1928
Ac6 0.5000 0.9036 0.8072
Ac7 0.0000 0.1986 0.3973
Pb1 0.5000 0.5000 0.0000
Pb2 0.5000 0.6904 0.3808
Pb3 0.5000 0.3096 0.6192
N1 0.0000 0.8964 0.7929
N2 0.0000 0.1036 0.2071

Properties
Fermi-level density of states (states/eV/atom): 0.65
Raw formation energy (eV per atom): -0.67
SG: Cmmm, No. 65
Raw total energy (eV per atom): -5.384


## Ca3TlP (GGA-PBE)

Data for a relaxed Ca3TlP crystal.

abc: 6.7454 6.7454 6.7454
angles: 81.02 81.02 81.02
Element x y z (fractional)
P1 0.2500 0.2500 0.2500
P2 0.7500 0.7500 0.7500
Tl1 0.0000 0.0000 0.0000
Tl2 0.5000 0.5000 0.5000
Ca1 0.9270 0.5730 0.2500
Ca2 0.5730 0.2500 0.9270
Ca3 0.2500 0.9270 0.5730
Ca4 0.7500 0.0730 0.4270
Ca5 0.4270 0.7500 0.0730
Ca6 0.0730 0.4270 0.7500

Properties
Fermi-level density of states (states/eV/atom): 0.11
Formation energy from the elements (meV per atom): -465.1
SG: R-3c, No. 167
Raw total energy (eV per atom): -3.221
Excess energy over the best structure of this formula in the dataset (eV/atom): 0.255


## Er8ZnNi2 (GGA-PBE)

Data for a relaxed Er8ZnNi2 crystal.

abc: 4.9744 6.6585 8.9768
angles: 106.62 106.09 90.00
Element x y z (fractional)
Er1 0.4055 0.5294 0.8110
Er2 0.6760 0.9864 0.3521
Er3 0.8009 0.6689 0.6018
Er4 0.9637 0.2181 0.9273
Er5 0.1991 0.3311 0.3982
Er6 0.3240 0.0136 0.6479
Er7 0.5945 0.4706 0.1890
Er8 0.0363 0.7819 0.0727
Zn1 0.5000 0.0000 0.0000
Ni1 0.8185 0.2827 0.6370
Ni2 0.1815 0.7173 0.3630

Properties
Fermi-level density of states (states/eV/atom): 1.06
Formation energy from the elements (meV per atom): -222.3
SG: C2/m, No. 12
Raw total energy (eV per atom): -4.708
Excess energy over the best structure of this formula in the dataset (eV/atom): 0.000


## CuSbSe2 (GGA-PBE)

Data for a relaxed CuSbSe2 crystal.

abc: 6.3484 6.3484 4.8671
angles: 87.05 87.05 35.76
Element x y z (fractional)
Sb1 0.2071 0.2071 0.1067
Cu1 0.5691 0.5691 0.4489
Se1 0.9962 0.9962 0.2331
Se2 0.7277 0.7277 0.7112

Properties
Fermi-level density of states (states/eV/atom): 0.21
Raw formation energy (eV per atom): -0.14
SG: Cm, No. 8
Raw total energy (eV per atom): -3.932


## Ag2Pb2S (GGA-PBE)

Data for a relaxed Ag2Pb2S crystal.

abc: 3.8529 3.8529 8.7655
angles: 77.30 77.30 90.00
Element x y z (fractional)
Pb1 0.4029 0.4029 0.1942
Pb2 0.5971 0.5971 0.8058
S1 0.0000 0.0000 0.0000
Ag1 0.7500 0.2500 0.5000
Ag2 0.2500 0.7500 0.5000

Properties
Fermi-level density of states (states/eV/atom): 0.43
Raw formation energy (eV per atom): 0.07
SG: I4/mmm, No. 139
Raw total energy (eV per atom): -3.380
Excess energy over the best structure of this formula in the dataset (eV/atom): 0.000


## ZrHgW2 (GGA-PBE)

Data for a relaxed ZrHgW2 crystal.

abc: 2.7743 4.7330 5.7741
angles: 90.00 90.00 90.00
Element x y z (fractional)
Hg1 0.5000 0.5000 0.7500
W1 0.0000 0.0000 0.0191
W2 0.0000 0.0000 0.4809
Zr1 0.5000 0.5000 0.2500

Properties
Fermi-level density of states (states/eV/atom): 1.05
Formation energy from the elements (meV per atom): 608.6
SG: Pmmm, No. 47
Raw total energy (eV per atom): -8.080


## Ac3Al7Pd4 (GGA-PBE)

Data for a relaxed Ac3Al7Pd4 crystal.

abc: 4.4193 8.4137 8.9403
angles: 70.36 75.69 74.77
Element x y z (fractional)
Ac1 0.3053 0.1992 0.1901
Ac2 0.6947 0.8008 0.8099
Ac3 0.0000 0.5000 0.5000
Al1 0.3184 0.8468 0.5164
Al2 0.4993 0.2095 0.7918
Al3 0.8602 0.3654 0.9143
Al4 0.6816 0.1532 0.4836
Al5 0.1398 0.6346 0.0857
Al6 0.0000 0.0000 0.0000
Al7 0.5006 0.7905 0.2082
Pd1 0.6553 0.4752 0.2142
Pd2 0.3447 0.5248 0.7858
Pd3 0.8812 0.8957 0.3419
Pd4 0.1188 0.1043 0.6581

Properties
Fermi-level density of states (states/eV/atom): 0.51
Formation energy from the elements (meV per atom): -681.1
SG: C2/m, No. 12
Raw total energy (eV per atom): -4.916


## InGa7Au3 (GGA-PBE)

Data for a relaxed InGa7Au3 crystal.

abc: 8.3604 8.3604 8.6187
angles: 60.99 60.99 60.00
Element x y z (fractional)
In1 0.5000 0.5000 0.5000
In2 0.0000 0.0000 0.0000
Ga1 0.6715 0.0720 0.4002
Ga2 0.0720 0.8564 0.4002
Ga3 0.8564 0.6715 0.4002
Ga4 0.8285 0.6436 0.0998
Ga5 0.4280 0.8285 0.0998
Ga6 0.6436 0.4280 0.0998
Ga7 0.3285 0.9280 0.5998
Ga8 0.9280 0.1436 0.5998
Ga9 0.1436 0.3285 0.5998
Ga10 0.1715 0.3564 0.9002
Ga11 0.5720 0.1715 0.9002
Ga12 0.3564 0.5720 0.9002
Ga13 0.7500 0.7500 0.7500
Ga14 0.2500 0.2500 0.2500
Au1 0.4351 0.0649 0.7500
Au2 0.0649 0.7500 0.7500
Au3 0.7500 0.4351 0.7500
Au4 0.5649 0.9351 0.2500
Au5 0.9351 0.2500 0.2500
Au6 0.2500 0.5649 0.2500

Properties
Fermi-level density of states (states/eV/atom): 0.29
Formation energy from the elements (meV per atom): -146.7
SG: R-3c, No. 167
Raw total energy (eV per atom): -3.216


## DyPa2AgO8 (GGA-PBE)

Data for a relaxed DyPa2AgO8 crystal.

abc: 5.4085 5.4085 6.6179
angles: 114.12 114.12 90.00
Element x y z (fractional)
Dy1 0.0000 0.0000 0.0000
Pa1 0.5000 0.5000 0.0000
Pa2 0.2500 0.7500 0.5000
Ag1 0.7500 0.2500 0.5000
O1 0.8777 0.8584 0.2458
O2 0.3681 0.3874 0.2458
O3 0.6126 0.6320 0.7542
O4 0.1417 0.1222 0.7542
O5 0.8778 0.3874 0.2458
O6 0.3680 0.8583 0.2458
O7 0.1416 0.6319 0.7542
O8 0.6126 0.1223 0.7542

Properties
Fermi-level density of states (states/eV/atom): 0.55
Raw formation energy (eV per atom): -2.79
SG: I-4m2, No. 119
Raw total energy (eV per atom): -8.302


## NaLiMg2Br6 (GGA-PBE)

Data for a relaxed NaLiMg2Br6 crystal.

abc: 6.9859 6.9853 7.4275
angles: 61.94 61.94 59.99
Element x y z (fractional)
Na1 0.8107 0.8107 0.5680
Li1 0.3205 0.3206 0.0382
Mg1 0.5123 0.5123 0.4634
Mg2 0.0073 0.0075 0.9775
Br1 0.6120 0.2467 0.2396
Br2 0.2468 0.9016 0.2396
Br3 0.9018 0.6119 0.2397
Br4 0.3798 0.7364 0.7498
Br5 0.7362 0.1341 0.7497
Br6 0.1341 0.3798 0.7498

Properties
Fermi-level density of states (states/eV/atom): 0.00
Raw formation energy (eV per atom): -1.46
SG: R3, No. 146
Raw total energy (eV per atom): -3.101


## PmSnBi (GGA-PBE)

Data for a relaxed PmSnBi crystal.

abc: 3.4379 3.4379 8.9056
angles: 101.13 101.13 90.00
Element x y z (fractional)
Bi1 0.1316 0.1316 0.2632
Sn1 0.9525 0.9525 0.9051
Pm1 0.7659 0.7659 0.5318

Properties
Fermi-level density of states (states/eV/atom): 0.84
Formation energy from the elements (meV per atom): -23.6
SG: I4mm, No. 107
Raw total energy (eV per atom): -4.235
Excess energy over the best structure of this formula in the dataset (eV/atom): 0.642


## TlV3Ir (GGA-PBE)

Data for a relaxed TlV3Ir crystal.

abc: 4.6511 4.6511 4.6511
angles: 90.00 90.00 90.00
Element x y z (fractional)
Tl1 0.5000 0.5000 0.5000
Ir1 0.0000 0.0000 0.0000
V1 0.0000 0.5000 0.0000
V2 0.0000 0.0000 0.5000
V3 0.5000 0.0000 0.0000

Properties
Fermi-level density of states (states/eV/atom): 1.44
Formation energy from the elements (meV per atom): 843.9
SG: Pm-3m, No. 221
Raw total energy (eV per atom): -6.873
Excess energy over the best structure of this formula in the dataset (eV/atom): 0.000


## Sr2CdIr (GGA-PBE)

Data for a relaxed Sr2CdIr crystal.

abc: 6.8595 6.8595 5.2432
angles: 67.48 67.48 31.48
Element x y z (fractional)
Cd1 0.5676 0.5676 0.4319
Ir1 0.2386 0.2386 0.2618
Sr1 0.9450 0.9450 0.0549
Sr2 0.7488 0.7488 0.7514

Properties
Fermi-level density of states (states/eV/atom): 0.66
Formation energy from the elements (meV per atom): -86.7
SG: Imm2, No. 44
Raw total energy (eV per atom): -3.372


## Ba2LaTc (GGA-PBE)

Data for a relaxed Ba2LaTc crystal.

abc: 9.8432 9.8432 4.6065
angles: 76.50 76.50 21.34
Element x y z (fractional)
Ba1 0.9032 0.9032 0.0976
Ba2 0.5968 0.5968 0.4024
La1 0.7500 0.7500 0.7500
Tc1 0.2500 0.2500 0.2500

Properties
Fermi-level density of states (states/eV/atom): 1.73
Formation energy from the elements (meV per atom): 401.4
SG: Immm, No. 71
Raw total energy (eV per atom): -4.383
Excess energy over the best structure of this formula in the dataset (eV/atom): 0.062


## Ho2ScGe3 (GGA-PBE)

Data for a relaxed Ho2ScGe3 crystal.

abc: 4.6330 5.7497 6.3753
angles: 116.80 111.31 90.00
Element x y z (fractional)
Ho1 0.6748 0.1748 0.3496
Ho2 0.3252 0.8252 0.6504
Sc1 0.0000 0.5000 0.0000
Ge1 0.3592 0.3592 0.7184
Ge2 0.0000 0.0000 0.0000
Ge3 0.6408 0.6408 0.2816

Properties
Fermi-level density of states (states/eV/atom): 0.57
Formation energy from the elements (meV per atom): -660.8
SG: Immm, No. 71
Raw total energy (eV per atom): -5.551


## NdCuAu2 (GGA-PBE)

Data for a relaxed NdCuAu2 crystal.

abc: 3.5210 3.5210 6.5926
angles: 90.00 90.00 90.00
Element x y z (fractional)
Nd1 0.5000 0.5000 0.5000
Au1 0.0000 0.0000 0.7893
Au2 0.0000 0.0000 0.2107
Cu1 0.5000 0.5000 0.0000

Properties
Fermi-level density of states (states/eV/atom): 0.46
Formation energy from the elements (meV per atom): -418.0
SG: P4/mmm, No. 123
Raw total energy (eV per atom): -4.273
Excess energy over the best structure of this formula in the dataset (eV/atom): 0.165


## Ca4ZnCu3 (GGA-PBE)

Data for a relaxed Ca4ZnCu3 crystal.

abc: 4.1741 4.2729 11.0419
angles: 90.00 90.00 90.00
Element x y z (fractional)
Ca1 0.5000 0.5000 0.3623
Ca2 0.0000 0.5000 0.8521
Ca3 0.0000 0.0000 0.1451
Ca4 0.5000 0.0000 0.6406
Zn1 0.5000 0.5000 0.0620
Cu1 0.0000 0.5000 0.5606
Cu2 0.0000 0.0000 0.4414
Cu3 0.5000 0.0000 0.9359

Properties
Fermi-level density of states (states/eV/atom): 0.57
Formation energy from the elements (meV per atom): -171.6
SG: Pmm2, No. 25
Raw total energy (eV per atom): -2.868